The following is a PBE-GGA calculation of a relaxed CaYIrPd crystal, from Alexandria via LeMat-Bulk.

Summary:
Energy above the lowest structure with this stoichiometry (meV per atom): 5
Magnetic moment (μB/f.u.): 0.0
DOS(E_F) (states/eV per cell): 2.3
Calculated density (g/cm³): 8.420
Energy relative to the elements (meV/atom): -668

The structure in extended XYZ format:
```
4
Lattice="3.4189 0.0000 0.0000 0.0000 3.4189 0.0000 0.0000 0.0000 7.2150" Properties=species:S:1:pos:R:3 pbc="T T T"
Ca 0.0000 0.0000 0.0000
Y 0.0000 0.0000 3.4963
Ir 1.7094 1.7094 1.8707
Pd 1.7094 1.7094 5.2686
```